w:
# GeAs2O2

An optimized crystal structure of GeAs2O2 (GGA-PBE, Alexandria via LeMat-Bulk).

a = 7.809 Å, b = 7.809 Å, c = 2.855 Å
α = 90.00°, β = 90.00°, γ = 90.00°
Fractional coordinates of all 10 atoms:
Ge1 0.000 0.000 0.000
Ge2 0.500 0.500 0.000
As1 0.243 0.257 0.000
As2 0.257 0.757 0.000
As3 0.743 0.243 0.000
As4 0.757 0.743 0.000
O1 0.134 0.366 0.500
O2 0.366 0.866 0.500
O3 0.634 0.134 0.500
O4 0.866 0.634 0.500

x:
# GeAs2O2

An optimized crystal structure of GeAs2O2 (GGA-PBE, Alexandria via LeMat-Bulk).

a = 3.504 Å, b = 3.504 Å, c = 11.950 Å
α = 90.00°, β = 90.00°, γ = 90.00°
Fractional coordinates of all 10 atoms:
Ge1 0.000 0.000 0.000
Ge2 0.500 0.500 0.500
As1 0.000 0.000 0.350
As2 0.000 0.000 0.650
As3 0.500 0.500 0.150
As4 0.500 0.500 0.850
O1 0.000 0.500 0.250
O2 0.000 0.500 0.750
O3 0.500 0.000 0.250
O4 0.500 0.000 0.750

Question: of the structures shown, which is the least stable? Reply: x.